# 1
This record from Alexandria via LeMat-Bulk describes a relaxed structure of BaOs2Au. The functional is GGA-PBEsol.

Properties
uncorrected energy	-6.5965	eV per atom
energy relative to the elements	1.030	eV per atom
DOS(E_F)	1.2618	states/eV per atom

a = 2.8036 Å, b = 4.3020 Å, c = 6.8783 Å
α = 90.00°, β = 90.00°, γ = 90.00°
Sites, in units of the cell vectors:
Os 0.0000 0.0000 0.8278
Os 0.0000 0.0000 0.1722
Ba 0.5000 0.5000 0.5000
Au 0.5000 0.5000 0.0000

# 2
This record from Alexandria via LeMat-Bulk describes a relaxed structure of Ba2OsAu. The functional is GGA-PBEsol.

Properties
uncorrected energy	-4.4909	eV per atom
energy relative to the elements	0.619	eV per atom
DOS(E_F)	1.1704	states/eV per atom

a = 5.2107 Å, b = 5.2107 Å, c = 5.2107 Å
α = 60.00°, β = 60.00°, γ = 60.00°
Site moments in Bohr magnetons follow the coordinates.
Sites, in units of the cell vectors:
Os 0.2500 0.2500 0.2500  0.75
Ba 0.0000 0.0000 0.0000  0.03
Ba 0.7500 0.7500 0.7500  -0.02
Au 0.5000 0.5000 0.5000  0.02

# 3
This record from Alexandria via LeMat-Bulk describes a relaxed structure of BaOsAu2. The functional is GGA-PBEsol.

Properties
uncorrected energy	-4.9507	eV per atom
energy relative to the elements	0.603	eV per atom
DOS(E_F)	0.9094	states/eV per atom

a = 2.9277 Å, b = 5.4483 Å, c = 6.2442 Å
α = 115.87°, β = 103.56°, γ = 90.00°
Sites, in units of the cell vectors:
Os 0.0000 0.5000 0.0000
Ba 0.5000 0.0000 0.0000
Au 0.2922 0.2922 0.5843
Au 0.7078 0.7078 0.4157

> The lowest uncorrected energy belongs to which entry?

BaOs2Au